Entry from the Alexandria database: a geometry-optimized KCe2PaSe5 structure (PBE-GGA).

Total magnetization in μB/cell: 6.87
V in A^3/atom: 32.449
Raw formation energy in eV per formula unit: -13.45
Uncorrected energy in Ry/atom: -0.4356

Cell: 5.3184 7.5287 14.5874 Å, 90.00 90.00 90.00°
Last column: nearest neighbours and their distance in Å.
Space group Immm (No. 71)
One atom of each set of equivalent atoms:
K (0.0000, 0.0000, 0.0000) x2  10 Se 3.76-3.96
Ce (0.0000, 0.5000, 0.2023) x4  3 Se 2.91-2.95
Pa (0.0000, 0.0000, 0.5000) x2  6 Se 2.66-2.83
Se (0.0000, 0.2401, 0.3503) x8  1 Pa 2.83, 1 Ce 2.91
Se (0.0000, 0.5000, 0.0000) x2  2 Pa 2.66, 2 Ce 2.95